(1)
Here is a relaxed structure of K2RbGeO4 from Alexandria. Energies are from PBE-GGA.

Cell and atoms, written as extended XYZ:
```
16
Lattice="6.417 0.000 0.000 0.000 6.417 0.000 0.000 0.000 8.046" Properties=species:S:1:pos:R:3 pbc="T T T"
K 0.000 3.208 2.011
K 0.000 3.208 6.034
K 3.208 0.000 2.011
K 3.208 0.000 6.034
Rb 0.000 0.000 0.000
Rb 3.208 3.208 4.023
Ge 0.000 0.000 4.023
Ge 3.208 3.208 0.000
O 1.071 1.071 4.970
O 1.071 5.346 3.076
O 2.138 2.138 0.947
O 2.138 4.279 7.098
O 4.279 2.138 7.098
O 4.279 4.279 0.947
O 5.346 1.071 3.076
O 5.346 5.346 4.970
```

**Density**: 3.010 g/cm³
**Total moment**: 2.02 Bohr magnetons per cell
**Uncorrected formation energy**: -11.90 eV/f.u.
**DOS at the Fermi energy**: 9.18 states/eV/f.u.

---

(2)
Here is a relaxed structure of ScGa3Au from Alexandria. Energies are from PBE-GGA.

Cell and atoms, written as extended XYZ:
```
10
Lattice="2.045 -12.062 0.000 2.045 12.062 0.000 0.000 0.000 3.932" Properties=species:S:1:pos:R:3 pbc="T T T"
Sc 2.045 7.792 0.000
Sc 2.045 -7.792 0.000
Ga 2.045 10.789 1.966
Ga 2.045 5.406 1.966
Ga 2.045 1.239 0.000
Ga 2.045 -1.239 0.000
Ga 2.045 -5.406 1.966
Ga 2.045 -10.789 1.966
Au 2.045 2.942 1.966
Au 2.045 -2.942 1.966
```

**E above lowest polymorph**: 0.00 kJ/mol of atoms
**ΔH_f (0 K)**: -372 meV per atom
**Density**: 7.723 g/cm³
**Total moment**: 0.00 Bohr magnetons per cell
**DOS at the Fermi energy**: 2.58 states/eV/f.u.

---

(3)
Here is a relaxed structure of Co2SiPb from Alexandria. Energies are from PBE-GGA.

Cell and atoms, written as extended XYZ:
```
8
Lattice="2.914 0.000 0.000 0.000 3.429 0.000 0.000 0.000 12.358" Properties=species:S:1:pos:R:3 pbc="T T T"
Co 0.000 0.000 0.000
Co 0.000 1.714 4.041
Co 1.457 0.000 10.220
Co 1.457 1.714 6.179
Si 0.000 0.000 5.532
Si 1.457 1.714 11.711
Pb 0.000 1.714 8.570
Pb 1.457 0.000 2.391
```

**E above lowest polymorph**: 3.45 kJ/mol of atoms
**Density**: 9.497 g/cm³
**Total moment**: 1.60 Bohr magnetons per cell
**Uncorrected formation energy**: 0.30 eV/f.u.
**DOS at the Fermi energy**: 3.37 states/eV/f.u.